[1]
Here is ThH6Rh2 after structural relaxation from the Alexandria database. Energies are from PBE.

## Properties
**M_tot**: 0.0 μB/f.u.
**Calculated total energy**: -44.7 eV per cell
**Mass density**: 8.29 Mg/m³
**Space group**: C2/m, No. 12

Lattice parameters (Å, degrees): 3.824 4.697 5.838 72.81 70.88 65.98
Sites, in units of the cell vectors:
Th 0.000 0.500 0.500
H 0.709 0.666 0.915
H 0.291 0.334 0.085
H 0.992 0.868 0.147
H 0.304 0.839 0.552
H 0.008 0.132 0.853
H 0.696 0.161 0.448
Rh 0.204 0.725 0.866
Rh 0.796 0.275 0.134


[2]
Here is ThH7Rh5 after structural relaxation from the Alexandria database. Energies are from PBE.

## Properties
**M_tot**: 0.0 μB/f.u.
**Calculated total energy**: -71.1 eV per cell
**Mass density**: 10.18 Mg/m³
**Space group**: P1, No. 1

Lattice parameters (Å, degrees): 5.584 7.871 5.610 90.61 59.54 45.77
Sites, in units of the cell vectors:
Th 0.907 0.960 0.950
H 0.785 0.509 0.462
H 0.408 0.494 0.463
H 0.124 0.255 0.556
H 0.240 0.484 0.235
H 0.362 0.996 0.993
H 0.285 0.874 0.380
H 0.478 0.257 0.769
Rh 0.376 0.099 0.705
Rh 0.860 0.242 0.458
Rh 0.377 0.629 0.188
Rh 0.889 0.617 0.166
Rh 0.909 0.585 0.674


[3]
Here is ThH3Rh after structural relaxation from the Alexandria database. Energies are from PBE.

## Properties
**M_tot**: 0.0 μB/f.u.
**Calculated total energy**: -54.5 eV per cell
**Mass density**: 9.10 Mg/m³
**Space group**: Pmmn, No. 59

Lattice parameters (Å, degrees): 4.614 5.033 5.310 90.00 89.98 90.00
Sites, in units of the cell vectors:
Th 0.736 0.750 0.250
Th 0.264 0.250 0.750
H 0.229 0.920 0.249
H 0.771 0.080 0.751
H 0.229 0.580 0.249
H 0.771 0.420 0.751
H 0.334 0.750 0.749
H 0.666 0.250 0.251
Rh 0.705 0.750 0.750
Rh 0.295 0.250 0.250


[4]
Here is ThH4Rh2 after structural relaxation from the Alexandria database. Energies are from PBE.

## Properties
**M_tot**: 0.0 μB/f.u.
**Calculated total energy**: -38.2 eV per cell
**Mass density**: 9.16 Mg/m³
**Space group**: C2/m, No. 12

Lattice parameters (Å, degrees): 5.756 6.825 6.821 45.53 33.16 33.14
Sites, in units of the cell vectors:
Th 0.000 0.000 0.000
H 0.776 0.504 0.005
H 0.224 0.496 0.995
H 0.776 0.005 0.505
H 0.224 0.995 0.495
Rh 0.742 0.496 0.496
Rh 0.258 0.503 0.504